8
Lattice="4.702 0.000 0.000 0.000 4.702 0.000 0.000 0.000 6.652" Properties=species:S:1:pos:R:3 comment="DyYGa2Pt4 (PBE, optimized geometry)" magnetic_moment_mub_per_cell=0.01 vol_a3_per_cell=147.1 dft_energy_ev_per_atom=-6.049 pbc="T T T"
Y 2.351 2.351 3.326
Pt 2.351 0.000 1.658
Pt 0.000 2.351 4.993
Pt 0.000 2.351 1.658
Pt 2.351 0.000 4.993
Ga 2.351 2.351 0.000
Ga 0.000 0.000 3.326
Dy 0.000 0.000 0.000

***

2
Lattice="0.000 3.092 3.092 3.092 0.000 3.092 3.092 3.092 0.000" Properties=species:S:1:pos:R:3 comment="TbCd (PBE, optimized geometry)" formation_enthalpy_0k_ev_per_atom=0.027 magnetic_moment_mub_per_cell=0.00 vol_a3_per_cell=59.1 dft_energy_ev_per_atom=-2.736 pbc="T T T"
Tb 3.092 3.092 3.092
Cd 0.000 0.000 0.000

***

9
Lattice="4.106 0.000 0.000 0.000 6.463 3.737 0.000 -6.463 3.737" Properties=species:S:1:pos:R:3 comment="Pr2GdMg3Ir2Pt (PBE, optimized geometry)" magnetic_moment_mub_per_cell=0.00 vol_a3_per_cell=198.4 dft_energy_ev_per_atom=-5.452 pbc="T T T"
Pr 0.000 -3.776 2.183
Pr 0.000 3.776 2.183
Mg 2.053 0.000 5.632
Mg 2.053 1.561 0.928
Mg 2.053 -1.561 0.928
Ir 2.053 2.095 3.723
Ir 2.053 -2.095 3.723
Gd 0.000 0.000 3.079
Pt 0.000 0.000 0.044

***

8
Lattice="3.516 0.000 0.000 -1.758 3.045 0.000 0.000 0.000 15.586" Properties=species:S:1:pos:R:3 comment="Tm3HfPb2C2 (PBE, optimized geometry)" magnetic_moment_mub_per_cell=0.01 vol_a3_per_cell=166.8 dft_energy_ev_per_atom=-6.721 pbc="T T T"
Tm 0.000 0.000 6.441
Tm 0.000 2.030 9.059
Tm 0.000 2.030 14.364
Hf 0.000 0.000 1.272
C 1.758 1.015 0.178
C 1.758 1.015 7.743
Pb 0.000 2.030 3.757
Pb 0.000 0.000 11.735

***

9
Lattice="7.918 0.000 0.000 0.000 4.124 0.000 0.000 0.000 4.124" Properties=species:S:1:pos:R:3 comment="Tm2Ge2O5 (PBE, optimized geometry)" magnetic_moment_mub_per_cell=0.00 vol_a3_per_cell=134.6 dft_energy_ev_per_atom=-6.674 pbc="T T T"
O 3.959 2.062 2.062
O 1.356 2.062 0.000
O 6.562 0.000 2.062
O 6.562 2.062 0.000
O 1.356 0.000 2.062
Ge 3.959 0.000 0.000
Ge 0.000 0.000 0.000
Tm 6.028 2.062 2.062
Tm 1.891 2.062 2.062

***

5
Lattice="-2.192 2.511 -2.292 -0.925 -3.935 0.143 -5.151 1.448 6.513" Properties=species:S:1:pos:R:3 comment="Nd2Ni2Br (PBE, optimized geometry)" magnetic_moment_mub_per_cell=0.01 vol_a3_per_cell=119.4 dft_energy_ev_per_atom=-5.257 pbc="T T T"
Br -1.348 -1.786 -0.669
Nd -3.219 0.770 0.353
Nd -5.471 1.403 3.200
Ni -2.575 0.724 3.256
Ni -3.923 -1.062 2.588

***

3
Lattice="0.000 3.430 3.430 3.430 0.000 3.430 3.430 3.430 0.000" Properties=species:S:1:pos:R:3 comment="HfSc2 (PBE, optimized geometry)" formation_enthalpy_0k_ev_per_atom=0.935 magnetic_moment_mub_per_cell=0.67 vol_a3_per_cell=80.7 dft_energy_ev_per_atom=-6.603 pbc="T T T"
Hf 0.000 0.000 0.000
Sc 5.144 5.144 5.144
Sc 1.715 1.715 1.715

***

16
Lattice="-3.062 0.943 4.840 3.701 -3.326 2.989 5.681 8.130 2.010" Properties=species:S:1:pos:R:3 comment="SmTeAuO (PBE, optimized geometry)" magnetic_moment_mub_per_cell=0.00 vol_a3_per_cell=341.0 dft_energy_ev_per_atom=-5.769 pbc="T T T"
Sm 5.378 6.048 5.705
Sm 2.491 -0.747 1.721
Sm -0.891 1.387 2.647
Sm 5.059 7.239 1.790
Au 1.374 4.014 4.865
Au 4.837 1.576 4.937
Au 2.834 2.471 6.976
Au 3.377 3.119 2.825
Te 2.545 6.303 3.863
Te 5.926 4.169 2.937
Te 1.663 2.380 0.589
Te 1.983 1.188 4.503
O 0.484 -1.755 5.882
O 0.189 -0.579 1.960
O -1.355 -0.096 4.369
O 2.029 -2.239 3.472

***

2
Lattice="-3.089 0.406 1.618 2.470 -2.049 1.422 2.273 4.899 3.111" Properties=species:S:1:pos:R:3 comment="NaPm (PBE, optimized geometry)" magnetic_moment_mub_per_cell=0.00 vol_a3_per_cell=66.5 dft_energy_ev_per_atom=-2.812 pbc="T T T"
Pm 1.185 -0.006 2.265
Na 0.469 3.262 3.885

***

3
Lattice="0.000 3.452 3.452 3.452 0.000 3.452 3.452 3.452 0.000" Properties=species:S:1:pos:R:3 comment="PmSbAu (PBE, optimized geometry)" magnetic_moment_mub_per_cell=0.00 vol_a3_per_cell=82.3 dft_energy_ev_per_atom=-4.800 pbc="T T T"
Pm 1.726 1.726 1.726
Au 0.000 0.000 0.000
Sb 5.179 5.179 5.179

***

6
Lattice="2.383 -2.747 4.973 -3.323 -4.147 3.117 1.532 -5.964 -0.213" Properties=species:S:1:pos:R:3 comment="Er2Hf (PBE, optimized geometry)" formation_enthalpy_0k_ev_per_atom=0.593 magnetic_moment_mub_per_cell=3.14 vol_a3_per_cell=165.4 dft_energy_ev_per_atom=-5.767 pbc="T T T"
Er -0.396 -5.055 5.030
Er 2.032 -5.963 3.365
Er -0.821 -6.663 2.437
Er 0.371 -8.036 4.924
Hf 0.000 0.000 0.000
Hf 0.148 -3.215 1.969

***

4
Lattice="-3.543 -0.153 -0.027 1.902 -2.986 0.203 -0.079 0.469 7.656" Properties=species:S:1:pos:R:3 comment="GdW (PBE, optimized geometry)" formation_enthalpy_0k_ev_per_atom=1.484 magnetic_moment_mub_per_cell=0.01 vol_a3_per_cell=83.6 dft_energy_ev_per_atom=-7.323 pbc="T T T"
W -1.748 -0.980 1.963
W 0.028 -1.690 5.868
Gd 0.000 0.000 0.000
Gd -0.040 0.235 3.828